# 1
The following is a PBE-GGA calculation of an optimized crystal structure of FeSiC2, from the Alexandria database.

Calculated values
raw formation energy = 0.29 eV per atom
space group = P1 (1)
volume = 44 Å³ per cell
final energy = -7.80 eV/atom

Cell lengths 2.5235, 2.5234, 8.1456 Å; angles 90.71, 96.63, 120.00 degrees
Each line ends with the local moment (μB).
Sites, in units of the cell vectors:
Fe (0.1437, 0.4604, 0.8201)  0.90
C (0.6791, 0.7174, 0.5678)  -0.01
C (0.0097, 0.3824, 0.5626)  -0.02
Si (0.6013, 0.1985, 0.0574)  -0.05

# 2
The following is a PBE-GGA calculation of an optimized crystal structure of CeZn2Rh3, from the Alexandria database.

Calculated values
space group = P-3m1 (164)
volume = 96 Å³ per cell
final energy = -5.69 eV/atom
energy relative to the elements = -0.600 eV/atom

Cell lengths 4.5245, 4.5245, 5.4375 Å; angles 90.00, 90.00, 120.00 degrees
Sites, in units of the cell vectors:
Zn (0.6667, 0.3333, 0.3305)
Zn (0.3333, 0.6667, 0.6695)
Rh (0.3333, 0.6667, 0.1982)
Rh (0.0000, 0.0000, 0.5000)
Rh (0.6667, 0.3333, 0.8018)
Ce (0.0000, 0.0000, 0.0000)

# 3
The following is a PBE-GGA calculation of an optimized crystal structure of SmDy2Tm6, from the Alexandria database.

Calculated values
energy above the most stable polymorph in this dataset = 343 meV/atom
space group = R3m (160)
volume = 310 Å³ per cell
final energy = -4.13 eV/atom
energy relative to the elements = 0.395 eV/atom

Cell lengths 6.8604, 6.8604, 8.5839 Å; angles 66.45, 66.45, 60.00 degrees
Sites, in units of the cell vectors:
Tm (0.5606, 0.0538, 0.3317)
Tm (0.0538, 0.0540, 0.3317)
Tm (0.2811, 0.7720, 0.6655)
Tm (0.2813, 0.2811, 0.6655)
Tm (0.7720, 0.2813, 0.6655)
Tm (0.0540, 0.5606, 0.3317)
Dy (0.5816, 0.5816, 0.2551)
Dy (0.7470, 0.7470, 0.7591)
Sm (0.3343, 0.3343, 0.9971)

# 4
The following is a PBE-GGA calculation of an optimized crystal structure of SmPuAu4, from the Alexandria database.

Calculated values
energy above the most stable polymorph in this dataset = 0 meV/atom
space group = C2/m (12)
volume = 136 Å³ per cell
final energy = -5.96 eV/atom
energy relative to the elements = -0.602 eV/atom

Cell lengths 4.7860, 4.7860, 8.3348 Å; angles 73.38, 73.39, 120.04 degrees
Each line ends with the local moment (μB).
Sites, in units of the cell vectors:
Pu (0.5013, 0.4973, 0.9981)  5.33
Au (0.4163, 0.0791, 0.7497)  0.01
Au (0.5864, 0.9156, 0.2465)  0.01
Au (0.9194, 0.5822, 0.2466)  0.01
Au (0.0831, 0.4123, 0.7498)  0.01
Sm (0.0013, 0.9973, 0.4981)  0.09